Entry 1:
# CaAcTm4S8 | the Alexandria database | GGA-PBE | optimized geometry
data_CaAcTm4S8
_symmetry_space_group_name_H-M 'P 1'
_symmetry_Int_Tables_number 1
_symmetry_space_group_name_Hall 'P 1'
_cell_length_a 8.2416
_cell_length_b 8.2416
_cell_length_c 8.2416
_cell_angle_alpha 58.29
_cell_angle_beta 58.29
_cell_angle_gamma 58.29
loop_
_atom_site_label
_atom_site_type_symbol
_atom_site_fract_x
_atom_site_fract_y
_atom_site_fract_z
Ca1 Ca 0.0000 0.0000 0.0000
Ac1 Ac 0.3719 0.3719 0.3719
Tm1 Tm 0.3712 0.3712 0.8783
Tm2 Tm 0.3712 0.8783 0.3712
Tm3 Tm 0.7469 0.7469 0.7469
Tm4 Tm 0.8783 0.3712 0.3712
S1 S 0.1199 0.1199 0.5951
S2 S 0.1199 0.5951 0.1199
S3 S 0.1344 0.1344 0.1344
S4 S 0.1381 0.6294 0.6294
S5 S 0.5951 0.1199 0.1199
S6 S 0.6149 0.6149 0.6149
S7 S 0.6294 0.1381 0.6294
S8 S 0.6294 0.6294 0.1381
# * energy: -6.0455 eV/atom
# * theoretical density: 5.236 g cm⁻³

***

Entry 2:
# Ca2AcUS6 | the Alexandria database | GGA-PBE | optimized geometry
data_Ca2AcUS6
_symmetry_space_group_name_H-M 'P 1'
_symmetry_Int_Tables_number 1
_symmetry_space_group_name_Hall 'P 1'
_cell_length_a 7.5210
_cell_length_b 7.5210
_cell_length_c 7.5210
_cell_angle_alpha 56.55
_cell_angle_beta 56.55
_cell_angle_gamma 56.55
loop_
_atom_site_label
_atom_site_type_symbol
_atom_site_fract_x
_atom_site_fract_y
_atom_site_fract_z
Ca1 Ca 0.0000 0.0000 0.0000
Ca2 Ca 0.4894 0.4894 0.4894
Ac1 Ac 0.2046 0.2046 0.2046
U1 U 0.6915 0.6915 0.6915
S1 S 0.0642 0.4279 0.7978
S2 S 0.3111 0.8754 0.6178
S3 S 0.4279 0.7978 0.0642
S4 S 0.6178 0.3111 0.8754
S5 S 0.7978 0.0642 0.4279
S6 S 0.8754 0.6178 0.3111
# * energy: -6.2146 eV/atom
# * theoretical density: 4.424 g cm⁻³

***

Entry 3:
# CaAcY4S8 | the Alexandria database | GGA-PBE | optimized geometry
data_CaAcY4S8
_symmetry_space_group_name_H-M 'P 1'
_symmetry_Int_Tables_number 1
_symmetry_space_group_name_Hall 'P 1'
_cell_length_a 8.3189
_cell_length_b 8.3189
_cell_length_c 8.3189
_cell_angle_alpha 58.55
_cell_angle_beta 58.55
_cell_angle_gamma 58.55
loop_
_atom_site_label
_atom_site_type_symbol
_atom_site_fract_x
_atom_site_fract_y
_atom_site_fract_z
Ca1 Ca 0.0000 0.0000 0.0000
Ac1 Ac 0.6274 0.6274 0.6274
Y1 Y 0.1211 0.6281 0.6281
Y2 Y 0.2525 0.2525 0.2525
Y3 Y 0.6281 0.1211 0.6281
Y4 Y 0.6281 0.6281 0.1211
S1 S 0.3725 0.3725 0.8591
S2 S 0.3725 0.8591 0.3725
S3 S 0.3844 0.3844 0.3844
S4 S 0.4028 0.8776 0.8776
S5 S 0.8591 0.3725 0.3725
S6 S 0.8659 0.8659 0.8659
S7 S 0.8776 0.4028 0.8776
S8 S 0.8776 0.8776 0.4028
# * energy: -6.6347 eV/atom
# * theoretical density: 3.709 g cm⁻³

***

Entry 4:
# CaAcY2S4 | the Alexandria database | GGA-PBE | optimized geometry
data_CaAcY2S4
_symmetry_space_group_name_H-M 'P 1'
_symmetry_Int_Tables_number 1
_symmetry_space_group_name_Hall 'P 1'
_cell_length_a 7.0201
_cell_length_b 4.0161
_cell_length_c 7.0471
_cell_angle_alpha 90.00
_cell_angle_beta 108.98
_cell_angle_gamma 90.00
loop_
_atom_site_label
_atom_site_type_symbol
_atom_site_fract_x
_atom_site_fract_y
_atom_site_fract_z
Ca1 Ca 0.0000 0.0000 0.0000
Ac1 Ac 0.5000 0.5000 0.0000
Y1 Y 0.0000 0.5000 0.5000
Y2 Y 0.5000 0.0000 0.5000
S1 S 0.2324 0.0000 0.7303
S2 S 0.2448 0.5000 0.2629
S3 S 0.7552 0.5000 0.7371
S4 S 0.7676 0.0000 0.2697
# * energy: -6.4458 eV/atom
# * theoretical density: 5.066 g cm⁻³

***

Entry 5:
# Ca2AcYS4 | the Alexandria database | GGA-PBE | optimized geometry
data_Ca2AcYS4
_symmetry_space_group_name_H-M 'P 1'
_symmetry_Int_Tables_number 1
_symmetry_space_group_name_Hall 'P 1'
_cell_length_a 7.0543
_cell_length_b 4.0606
_cell_length_c 7.1148
_cell_angle_alpha 90.00
_cell_angle_beta 109.14
_cell_angle_gamma 90.00
loop_
_atom_site_label
_atom_site_type_symbol
_atom_site_fract_x
_atom_site_fract_y
_atom_site_fract_z
Ca1 Ca 0.0000 0.0000 0.0000
Ca2 Ca 0.5000 0.5000 0.0000
Ac1 Ac 0.0000 0.5000 0.5000
Y1 Y 0.5000 0.0000 0.5000
S1 S 0.2625 0.5000 0.2483
S2 S 0.2683 0.0000 0.7622
S3 S 0.7317 0.0000 0.2378
S4 S 0.7375 0.5000 0.7517
# * energy: -5.9033 eV/atom
# * theoretical density: 4.522 g cm⁻³

***

Entry 6:
# CaAc3Sb4 | the Alexandria database | GGA-PBE | optimized geometry
data_CaAc3Sb4
_symmetry_space_group_name_H-M 'P 1'
_symmetry_Int_Tables_number 1
_symmetry_space_group_name_Hall 'P 1'
_cell_length_a 6.7243
_cell_length_b 6.7243
_cell_length_c 6.7243
_cell_angle_alpha 90.00
_cell_angle_beta 90.00
_cell_angle_gamma 90.00
loop_
_atom_site_label
_atom_site_type_symbol
_atom_site_fract_x
_atom_site_fract_y
_atom_site_fract_z
Ca1 Ca 0.0000 0.0000 0.0000
Ac1 Ac 0.0000 0.5000 0.5000
Ac2 Ac 0.5000 0.0000 0.5000
Ac3 Ac 0.5000 0.5000 0.0000
Sb1 Sb 0.0000 0.0000 0.5000
Sb2 Sb 0.0000 0.5000 0.0000
Sb3 Sb 0.5000 0.0000 0.0000
Sb4 Sb 0.5000 0.5000 0.5000
# * theoretical density: 6.598 g cm⁻³
# * E above lowest polymorph: 3 meV per atom

***

Question: What is the theoretical density in the fifth record?
Answer: 4.522 g cm⁻³